! YTcPt2 GGA-PBE relaxed; values from VASP
! Polymorph energy (0 for the lowest one) ... 9 kJ/mol of formula units
! DFT formation energy ... -1.69 eV per formula unit
! E_tot ... -30.61 eV for the cell shown
! SG ... Cmmm
&SYSTEM
  ibrav = 0, nat = 4, ntyp = 3
/
ATOMIC_SPECIES
Y 88.91 Y.upf
Tc 98.00 Tc.upf
Pt 195.08 Pt.upf
ATOMIC_POSITIONS crystal
Y 0.0000 0.0000 0.0000
Tc 0.5000 0.5000 0.0000
Pt 0.0000 0.5000 0.5000
Pt 0.5000 0.0000 0.5000
CELL_PARAMETERS angstrom
2.8900 -4.0890 0.0000
2.8900 4.0890 0.0000
0.0000 0.0000 2.9292

=====

! LiAsPd GGA-PBE relaxed; values from VASP
! DFT formation energy ... -1.26 eV per formula unit
! E_tot ... -26.04 eV for the cell shown
! SG ... Immm
&SYSTEM
  ibrav = 0, nat = 6, ntyp = 3
/
ATOMIC_SPECIES
Li 6.94 Li.upf
As 74.92 As.upf
Pd 106.42 Pd.upf
ATOMIC_POSITIONS crystal
Li 0.1606 0.1606 0.0000
Li 0.8394 0.8394 0.0000
As 0.3587 0.8587 0.5000
As 0.6413 0.1413 0.5000
Pd 0.2517 0.5000 0.7517
Pd 0.7483 0.5000 0.2483
CELL_PARAMETERS angstrom
-1.4592 2.8041 5.9873
1.4592 -2.8041 5.9873
1.4592 2.8041 -5.9873

=====

! GdPuRu GGA-PBE relaxed; values from VASP
! Polymorph energy (0 for the lowest one) ... 31 kJ/mol of formula units
! DFT formation energy ... -0.02 eV per formula unit
! E_tot ... -37.71 eV for the cell shown
! SG ... F-43m
&SYSTEM
  ibrav = 0, nat = 3, ntyp = 3
/
ATOMIC_SPECIES
Gd 157.25 Gd.upf
Pu 244.00 Pu.upf
Ru 101.07 Ru.upf
ATOMIC_POSITIONS crystal
Gd 0.0000 0.0000 0.0000
Pu 0.5000 0.5000 0.5000
Ru 0.2500 0.2500 0.2500
CELL_PARAMETERS angstrom
0.0000 3.3696 3.3696
3.3696 0.0000 3.3696
3.3696 3.3696 0.0000

=====

! ZrPbS2Cl GGA-PBE relaxed; values from VASP
! Energy relative to the elements, uncorrected ... 318.7 meV per atom
! Polymorph energy (0 for the lowest one) ... 590 kJ/mol of formula units
! E_tot ... -20.76 eV for the cell shown
! SG ... P4/mmm
&SYSTEM
  ibrav = 0, nat = 5, ntyp = 4
/
ATOMIC_SPECIES
Zr 91.22 Zr.upf
Pb 207.20 Pb.upf
S 32.06 S.upf
Cl 35.45 Cl.upf
ATOMIC_POSITIONS crystal
Zr 0.0000 0.0000 0.0000
Pb 0.5000 0.5000 0.5000
S 0.0000 0.5000 0.5000
S 0.5000 0.0000 0.5000
Cl 0.5000 0.5000 0.0000
CELL_PARAMETERS angstrom
5.1780 0.0000 0.0000
0.0000 5.1780 0.0000
0.0000 0.0000 5.1130

=====

! CaInBi2 GGA-PBE relaxed; values from VASP
! DFT formation energy ... 0.42 eV per formula unit
! E_tot ... -12.08 eV for the cell shown
! SG ... R-3m
&SYSTEM
  ibrav = 0, nat = 4, ntyp = 3
/
ATOMIC_SPECIES
Ca 40.08 Ca.upf
In 114.82 In.upf
Bi 208.98 Bi.upf
ATOMIC_POSITIONS crystal
Ca 0.0000 0.0000 0.0000
In 0.5000 0.5000 0.5000
Bi 0.1004 0.1004 0.1004
Bi 0.8996 0.8996 0.8996
CELL_PARAMETERS angstrom
1.9494 1.1255 10.8126
-1.9494 1.1255 10.8126
0.0000 -2.2510 10.8126

=====

! CsHgN2O GGA-PBE relaxed; values from VASP
! Energy relative to the elements, uncorrected ... 2315.6 meV per atom
! E_tot ... -11.19 eV for the cell shown
! SG ... P4/mmm
&SYSTEM
  ibrav = 0, nat = 5, ntyp = 4
/
ATOMIC_SPECIES
Cs 132.91 Cs.upf
Hg 200.59 Hg.upf
N 14.01 N.upf
O 16.00 O.upf
ATOMIC_POSITIONS crystal
Cs 0.0000 0.0000 0.0000
Hg 0.5000 0.5000 0.5000
N 0.0000 0.5000 0.0000
N 0.5000 0.0000 0.0000
O 0.0000 0.0000 0.5000
CELL_PARAMETERS angstrom
4.4859 0.0000 0.0000
0.0000 4.4859 0.0000
0.0000 0.0000 4.3780

=====

! CdCuOs2 GGA-PBE relaxed; values from VASP
! DFT formation energy ... 3.12 eV per formula unit
! E_tot ... -24.35 eV for the cell shown
! SG ... Cmmm
&SYSTEM
  ibrav = 0, nat = 4, ntyp = 3
/
ATOMIC_SPECIES
Cd 112.41 Cd.upf
Cu 63.55 Cu.upf
Os 190.23 Os.upf
ATOMIC_POSITIONS crystal
Cd 0.0000 0.0000 0.0000
Cu 0.5000 0.5000 0.0000
Os 0.0000 0.5000 0.5000
Os 0.5000 0.0000 0.5000
CELL_PARAMETERS angstrom
2.5856 -4.3486 0.0000
2.5856 4.3486 0.0000
0.0000 0.0000 2.7443

=====

! KInSn3 GGA-PBE relaxed; values from VASP
! Polymorph energy (0 for the lowest one) ... 529 kJ/mol of formula units
! DFT formation energy ... 4.91 eV per formula unit
! E_tot ... -10.94 eV for the cell shown
! SG ... Pm-3m
&SYSTEM
  ibrav = 0, nat = 5, ntyp = 3
/
ATOMIC_SPECIES
K 39.10 K.upf
In 114.82 In.upf
Sn 118.71 Sn.upf
ATOMIC_POSITIONS crystal
K 0.0000 0.0000 0.0000
In 0.5000 0.5000 0.5000
Sn 0.0000 0.0000 0.5000
Sn 0.0000 0.5000 0.0000
Sn 0.5000 0.0000 0.0000
CELL_PARAMETERS angstrom
5.9163 0.0000 0.0000
0.0000 5.9163 0.0000
0.0000 0.0000 5.9163

=====

! Rb2GaCI GGA-PBE relaxed; values from VASP
! Energy relative to the elements, uncorrected ... -61.2 meV per atom
! E_tot ... -16.04 eV for the cell shown
! SG ... P4/mmm
&SYSTEM
  ibrav = 0, nat = 5, ntyp = 4
/
ATOMIC_SPECIES
Rb 85.47 Rb.upf
Ga 69.72 Ga.upf
C 12.01 C.upf
I 126.90 I.upf
ATOMIC_POSITIONS crystal
Rb 0.0000 0.5000 0.0000
Rb 0.5000 0.0000 0.0000
Ga 0.0000 0.0000 0.5000
C 0.0000 0.0000 0.0000
I 0.5000 0.5000 0.5000
CELL_PARAMETERS angstrom
6.6152 0.0000 0.0000
0.0000 6.6152 0.0000
0.0000 0.0000 3.6952

=====

! Tm5PuP6 GGA-PBE relaxed; values from VASP
! DFT formation energy ... -18.22 eV per formula unit
! E_tot ... -87.37 eV for the cell shown
! SG ... C2/m
&SYSTEM
  ibrav = 0, nat = 12, ntyp = 3
/
ATOMIC_SPECIES
Tm 168.93 Tm.upf
Pu 244.00 Pu.upf
P 30.97 P.upf
ATOMIC_POSITIONS crystal
Tm 0.0000 0.0000 0.0000
Tm 0.1666 0.8334 0.5000
Tm 0.3332 0.6668 0.0000
Tm 0.6668 0.3332 0.0000
Tm 0.8334 0.1666 0.5000
Pu 0.5000 0.5000 0.5000
P 0.0842 0.4165 0.2497
P 0.2505 0.2505 0.7492
P 0.4165 0.0842 0.2497
P 0.5835 0.9158 0.7503
P 0.7495 0.7495 0.2508
P 0.9158 0.5835 0.7503
CELL_PARAMETERS angstrom
3.4236 -5.9278 0.0000
3.4236 5.9278 0.0000
-2.2838 0.0000 6.4555

=====

! CaBPd3 GGA-PBE relaxed; values from VASP
! DFT formation energy ... -1.81 eV per formula unit
! E_tot ... -52.14 eV for the cell shown
! SG ... C2/m
&SYSTEM
  ibrav = 0, nat = 10, ntyp = 3
/
ATOMIC_SPECIES
Ca 40.08 Ca.upf
B 10.81 B.upf
Pd 106.42 Pd.upf
ATOMIC_POSITIONS crystal
Ca 0.1039 0.1039 0.2152
Ca 0.8961 0.8961 0.7848
B 0.3281 0.3281 0.1260
B 0.6719 0.6719 0.8740
Pd 0.2145 0.2145 0.8456
Pd 0.3125 0.3125 0.4694
Pd 0.4706 0.4706 0.2400
Pd 0.5294 0.5294 0.7600
Pd 0.6875 0.6875 0.5306
Pd 0.7855 0.7855 0.1544
CELL_PARAMETERS angstrom
7.1347 -2.1649 0.0000
7.1347 2.1649 0.0000
-1.1368 0.0000 5.6948

=====

! ZnGaGe GGA-PBE relaxed; values from VASP
! Polymorph energy (0 for the lowest one) ... 11 kJ/mol of formula units
! DFT formation energy ... 0.49 eV per formula unit
! E_tot ... -8.43 eV for the cell shown
! SG ... P3m1
&SYSTEM
  ibrav = 0, nat = 3, ntyp = 3
/
ATOMIC_SPECIES
Zn 65.41 Zn.upf
Ga 69.72 Ga.upf
Ge 72.64 Ge.upf
ATOMIC_POSITIONS crystal
Zn 0.0000 0.0000 0.0000
Ga 0.3333 0.6667 0.6530
Ge 0.6667 0.3333 0.2979
CELL_PARAMETERS angstrom
4.0830 0.0000 0.0000
-2.0415 3.5360 0.0000
0.0000 0.0000 3.9394

=====

no.,total moment (μB/atom)
1,0.000
2,0.000
3,0.662
4,0.356
5,0.000
6,0.038
7,0.000
8,0.000
9,0.000
10,0.400
11,0.000
12,0.000